# Ta2CuAg | the Alexandria database | PBE | relaxed
data_Ta2CuAg
_space_group_name_H-M_alt 'P m m 2'
_space_group_IT_number 25
_cell_length_a 3.008
_cell_length_b 3.691
_cell_length_c 6.029
_cell_angle_alpha 90.00
_cell_angle_beta 90.00
_cell_angle_gamma 90.00
loop_
_space_group_symop_operation_xyz
'x,y,z'
'-x,-y,z'
'-x,y,z'
'x,-y,z'
loop_
_atom_site_label
_atom_site_type_symbol
_atom_site_fract_x
_atom_site_fract_y
_atom_site_fract_z
Ta1 Ta 0.000 0.000 0.000
Ta2 Ta 0.500 0.500 0.260
Cu1 Cu 0.500 0.500 0.764
Ag1 Ag 0.000 0.000 0.533
# Crystal system   orthorhombic
# Distance to the lowest polymorph of the same formula   0.0730 eV per atom
# Energy of formation from the pure elements   0.1928 eV per atom